# 1
Computed, not measured: crystalline KHg2P at its relaxed geometry at the PBE level of DFT.

Cell lengths 8.739, 8.739, 6.497 Å; angles 90.00, 90.00, 90.00 degrees
Fractional coordinates of all 16 atoms:
K1 0.000 0.000 0.000
K2 0.000 0.500 0.250
K3 0.500 0.000 0.750
K4 0.500 0.500 0.500
Hg1 0.147 0.250 0.625
Hg2 0.250 0.647 0.875
Hg3 0.250 0.853 0.375
Hg4 0.353 0.250 0.125
Hg5 0.647 0.750 0.125
Hg6 0.750 0.147 0.375
Hg7 0.750 0.353 0.875
Hg8 0.853 0.750 0.625
P1 0.000 0.000 0.500
P2 0.000 0.500 0.750
P3 0.500 0.000 0.250
P4 0.500 0.500 0.000

Calculated values
**D(E_F)**: 1.73 states/eV/cell
**E_form**: -0.01 eV per atom


# 2
Computed, not measured: crystalline RbGaTe2 at its relaxed geometry at the PBE level of DFT.

Cell lengths 4.321, 22.134, 7.725 Å; angles 90.00, 90.00, 90.00 degrees
Fractional coordinates of all 16 atoms:
Rb1 0.000 0.073 0.250
Rb2 0.000 0.927 0.750
Rb3 0.500 0.427 0.750
Rb4 0.500 0.573 0.250
Ga1 0.000 0.333 0.250
Ga2 0.000 0.667 0.750
Ga3 0.500 0.167 0.750
Ga4 0.500 0.833 0.250
Te1 0.000 0.095 0.750
Te2 0.000 0.222 0.250
Te3 0.000 0.778 0.750
Te4 0.000 0.905 0.250
Te5 0.500 0.278 0.750
Te6 0.500 0.405 0.250
Te7 0.500 0.595 0.750
Te8 0.500 0.722 0.250

Calculated values
**Uncorrected formation energy**: -0.30 eV per atom
**D(E_F)**: 0.92 states/eV/cell


# 3
Computed, not measured: crystalline SnHgTeN2 at its relaxed geometry at the PBE level of DFT.

Cell lengths 4.429, 4.429, 6.203 Å; angles 90.00, 90.00, 90.00 degrees
Fractional coordinates of all 5 atoms:
Sn1 0.000 0.000 0.000
Hg1 0.500 0.500 0.500
Te1 0.500 0.500 0.000
N1 0.000 0.500 0.500
N2 0.500 0.000 0.500

Calculated values
**Uncorrected formation energy**: 1.68 eV per atom
**D(E_F)**: 2.77 states/eV/cell


# 4
Computed, not measured: crystalline InCu2H at its relaxed geometry at the PBE level of DFT.

Cell lengths 5.011, 5.011, 8.599 Å; angles 90.00, 90.00, 90.00 degrees
Fractional coordinates of all 16 atoms:
In1 0.000 0.000 0.000
In2 0.000 0.500 0.250
In3 0.500 0.000 0.750
In4 0.500 0.500 0.500
Cu1 0.040 0.250 0.625
Cu2 0.250 0.540 0.875
Cu3 0.250 0.960 0.375
Cu4 0.460 0.250 0.125
Cu5 0.540 0.750 0.125
Cu6 0.750 0.040 0.375
Cu7 0.750 0.460 0.875
Cu8 0.960 0.750 0.625
H1 0.000 0.000 0.500
H2 0.000 0.500 0.750
H3 0.500 0.000 0.250
H4 0.500 0.500 0.000

Calculated values
**D(E_F)**: 3.59 states/eV/cell
**Raw total energy**: -3.405 eV/atom


# 5
Computed, not measured: crystalline LiNp3Sc3S8 at its relaxed geometry at the PBE level of DFT.

Cell lengths 7.564, 7.564, 7.564 Å; angles 59.77, 59.77, 59.77 degrees
Fractional coordinates of all 15 atoms:
Li1 0.000 0.000 0.000
Np1 0.000 0.000 0.500
Np2 0.000 0.500 0.000
Np3 0.500 0.000 0.000
Sc1 0.000 0.500 0.500
Sc2 0.500 0.000 0.500
Sc3 0.500 0.500 0.000
S1 0.248 0.248 0.742
S2 0.248 0.742 0.248
S3 0.256 0.256 0.256
S4 0.258 0.752 0.752
S5 0.742 0.248 0.248
S6 0.744 0.744 0.744
S7 0.752 0.258 0.752
S8 0.752 0.752 0.258

Calculated values
**Uncorrected formation energy**: -1.60 eV per atom
**D(E_F)**: 31.65 states/eV/cell


# 6
Computed, not measured: crystalline Na2Sr4Ag at its relaxed geometry at the PBE level of DFT.

Cell lengths 6.090, 6.090, 19.021 Å; angles 90.00, 90.00, 90.00 degrees
Fractional coordinates of all 14 atoms:
Na1 0.000 0.000 0.130
Na2 0.000 0.000 0.870
Na3 0.500 0.500 0.370
Na4 0.500 0.500 0.630
Sr1 0.000 0.000 0.330
Sr2 0.000 0.000 0.670
Sr3 0.000 0.500 0.000
Sr4 0.000 0.500 0.500
Sr5 0.500 0.000 0.000
Sr6 0.500 0.000 0.500
Sr7 0.500 0.500 0.170
Sr8 0.500 0.500 0.830
Ag1 0.000 0.000 0.500
Ag2 0.500 0.500 0.000

Calculated values
**D(E_F)**: 11.54 states/eV/cell
**E_form**: 0.02 eV per atom


# 7
Computed, not measured: crystalline Ca2SmAl9 at its relaxed geometry at the PBE level of DFT.

Cell lengths 9.515, 9.515, 9.515 Å; angles 34.30, 34.30, 34.30 degrees
Fractional coordinates of all 12 atoms:
Ca1 0.142 0.142 0.142
Ca2 0.858 0.858 0.858
Sm1 0.000 0.000 0.000
Al1 0.077 0.584 0.584
Al2 0.335 0.335 0.335
Al3 0.416 0.416 0.923
Al4 0.416 0.923 0.416
Al5 0.500 0.500 0.500
Al6 0.584 0.077 0.584
Al7 0.584 0.584 0.077
Al8 0.665 0.665 0.665
Al9 0.923 0.416 0.416

Calculated values
**D(E_F)**: 7.45 states/eV/cell
**E_form**: -0.29 eV per atom


# 8
Computed, not measured: crystalline PmErSc2In4 at its relaxed geometry at the PBE level of DFT.

Cell lengths 9.035, 9.035, 9.035 Å; angles 33.47, 33.47, 33.47 degrees
Fractional coordinates of all 8 atoms:
Pm1 0.000 0.000 0.000
Er1 0.500 0.500 0.500
Sc1 0.250 0.250 0.250
Sc2 0.750 0.750 0.750
In1 0.127 0.127 0.127
In2 0.377 0.377 0.377
In3 0.623 0.623 0.623
In4 0.873 0.873 0.873

Calculated values
**D(E_F)**: 4.65 states/eV/cell
**E_form**: -0.42 eV per atom


# 9
Computed, not measured: crystalline Ac2Zn3Cd4Ag at its relaxed geometry at the PBE level of DFT.

Cell lengths 4.698, 4.698, 11.142 Å; angles 90.00, 90.00, 90.00 degrees
Fractional coordinates of all 10 atoms:
Ac1 0.000 0.500 0.247
Ac2 0.500 0.000 0.753
Zn1 0.000 0.000 0.000
Zn2 0.000 0.500 0.632
Zn3 0.500 0.000 0.368
Cd1 0.000 0.000 0.500
Cd2 0.000 0.500 0.868
Cd3 0.500 0.000 0.132
Cd4 0.500 0.500 0.500
Ag1 0.500 0.500 0.000

Calculated values
**D(E_F)**: 8.05 states/eV/cell
**E_form**: -0.23 eV per atom


# 10
Computed, not measured: crystalline Be3IrRh at its relaxed geometry at the PBE level of DFT.

Cell lengths 4.001, 4.001, 4.001 Å; angles 90.00, 90.00, 90.00 degrees
Fractional coordinates of all 5 atoms:
Be1 0.000 0.000 0.500
Be2 0.000 0.500 0.000
Be3 0.500 0.000 0.000
Ir1 0.500 0.500 0.500
Rh1 0.000 0.000 0.000

Calculated values
**D(E_F)**: 1.07 states/eV/cell
**E_form**: 0.55 eV per atom


# 11
Computed, not measured: crystalline Ba8SrPd2 at its relaxed geometry at the PBE level of DFT.

Cell lengths 8.955, 8.955, 9.092 Å; angles 112.63, 112.63, 68.63 degrees
Fractional coordinates of all 11 atoms:
Ba1 0.091 0.689 0.686
Ba2 0.178 0.178 0.779
Ba3 0.311 0.909 0.314
Ba4 0.366 0.366 0.298
Ba5 0.634 0.634 0.702
Ba6 0.689 0.091 0.686
Ba7 0.822 0.822 0.221
Ba8 0.909 0.311 0.314
Sr1 0.500 0.500 0.000
Pd1 0.315 0.315 0.595
Pd2 0.685 0.685 0.405

Calculated values
**D(E_F)**: 14.79 states/eV/cell
**E_form**: -0.14 eV per atom


# 12
Computed, not measured: crystalline CsPb2ICl at its relaxed geometry at the PBE level of DFT.

Cell lengths 6.848, 6.848, 6.626 Å; angles 90.00, 90.00, 90.00 degrees
Fractional coordinates of all 5 atoms:
Cs1 0.000 0.000 0.000
Pb1 0.000 0.500 0.000
Pb2 0.500 0.000 0.000
I1 0.000 0.000 0.500
Cl1 0.500 0.500 0.500

Calculated values
**Uncorrected formation energy**: 0.54 eV per atom
**D(E_F)**: 5.58 states/eV/cell


- Which of these has the lowest D(E_F)?
  RbGaTe2